1.
Below is Dy2YIr2 after structural relaxation, with properties calculated at the PBE level.

Calculated formation energy: -0.7754 eV per atom
Excess energy over the best structure of this formula in the dataset: 0.0 meV per atom

Geometry as CIF:
```
data_Dy2YIr2
_cell_length_a 4.7845
_cell_length_b 4.7845
_cell_length_c 6.0006
_cell_angle_alpha 90.00
_cell_angle_beta 90.00
_cell_angle_gamma 120.00
_space_group_name_H-M_alt 'P -3 m 1'
_space_group_IT_number 164
_space_group_name_Hall '-P 3 2"'
loop_
_atom_site_label
_atom_site_fract_x
_atom_site_fract_y
_atom_site_fract_z
Dy1 0.3333 0.6667 0.1641
Y1 0.0000 0.0000 0.5000
Ir1 0.3333 0.6667 0.6716
```

2.
Below is AlRe2Mo after structural relaxation, with properties calculated at the PBE level.

Calculated formation energy: -0.0443 eV per atom

Geometry as CIF:
```
data_AlRe2Mo
_cell_length_a 2.723
_cell_length_b 4.363
_cell_length_c 5.148
_cell_angle_alpha 90.00
_cell_angle_beta 100.78
_cell_angle_gamma 90.00
_space_group_name_H-M_alt 'P 1 2/m 1'
_space_group_IT_number 10
loop_
_space_group_symop_operation_xyz
'x,y,z'
'-x,-y,-z'
'-x,y,-z'
'x,-y,z'
loop_
_atom_site_label
_atom_site_fract_x
_atom_site_fract_y
_atom_site_fract_z
Al1 0.000 0.000 0.000
Re1 0.277 0.500 0.758
Mo1 0.500 0.000 0.500
```

3.
Below is LiU2CuTe5 after structural relaxation, with properties calculated at the PBE level.

E_tot: -5.49 eV/atom

Geometry as CIF:
```
data_LiU2CuTe5
_cell_length_a 4.209
_cell_length_b 18.254
_cell_length_c 12.310
_cell_angle_alpha 90.00
_cell_angle_beta 90.00
_cell_angle_gamma 90.00
_space_group_name_H-M_alt 'C m c 21'
_space_group_IT_number 36
loop_
_space_group_symop_operation_xyz
'x,y,z'
'-x,-y,z+1/2'
'-x,y,z'
'x,-y,z+1/2'
'x+1/2,y+1/2,z'
'-x+1/2,-y+1/2,z+1/2'
'-x+1/2,y+1/2,z'
'x+1/2,-y+1/2,z+1/2'
loop_
_atom_site_label
_atom_site_fract_x
_atom_site_fract_y
_atom_site_fract_z
Li1 0.000 0.191 0.000
U1 0.000 0.116 0.682
U2 0.000 0.120 0.303
Cu1 0.000 0.411 0.472
Te1 0.000 0.036 0.065
Te2 0.000 0.298 0.661
Te3 0.000 0.301 0.334
Te4 0.000 0.352 0.997
Te5 0.000 0.493 0.289
```

4.
Below is Zr3ScFe after structural relaxation, with properties calculated at the PBE level.

Calculated formation energy: 0.0496 eV per atom
Excess energy over the best structure of this formula in the dataset: 91.8 meV per atom

Geometry as CIF:
```
data_Zr3ScFe
_cell_length_a 8.177
_cell_length_b 8.303
_cell_length_c 6.303
_cell_angle_alpha 90.00
_cell_angle_beta 90.00
_cell_angle_gamma 90.00
_space_group_name_H-M_alt 'I m m a'
_space_group_IT_number 74
_space_group_name_Hall '-I 2b 2'
loop_
_atom_site_label
_atom_site_fract_x
_atom_site_fract_y
_atom_site_fract_z
Zr1 0.000 0.250 0.235
Zr2 0.203 0.000 0.500
Sc1 0.000 0.250 0.765
Fe1 0.000 0.000 0.000
```

Number 1: total magnetization 0.000 μB/atom. Number 2: total magnetization 0.000 μB/atom. Number 3: total magnetization 0.475 μB/atom. Number 4: total magnetization 0.000 μB/atom.